Entry 1:
# Cd3Rh

Crystalline Cd3Rh at its relaxed geometry (GGA-PBEsol, the Alexandria database).

The structure in CIF format:
```
data_Cd3Rh
_symmetry_space_group_name_H-M 'P 4/m m m'
_symmetry_Int_Tables_number 123
_symmetry_space_group_name_Hall '-P 4 2'
_cell_length_a 3.137
_cell_length_b 3.137
_cell_length_c 7.380
_cell_angle_alpha 90.00
_cell_angle_beta 90.00
_cell_angle_gamma 90.00
loop_
_atom_site_label
_atom_site_type_symbol
_atom_site_fract_x
_atom_site_fract_y
_atom_site_fract_z
Cd1 Cd 0.000 0.000 0.000
Cd2 Cd 0.500 0.500 0.280
Rh1 Rh 0.000 0.000 0.500
```

Output
energy relative to the elements	-37	meV per atom

***

Entry 2:
# TlTcBi2Ir

Crystalline TlTcBi2Ir at its relaxed geometry (GGA-PBEsol, the Alexandria database).

The structure in CIF format:
```
data_TlTcBi2Ir
_symmetry_space_group_name_H-M 'P 4/m m m'
_symmetry_Int_Tables_number 123
_symmetry_space_group_name_Hall '-P 4 2'
_cell_length_a 5.275
_cell_length_b 5.275
_cell_length_c 5.078
_cell_angle_alpha 90.00
_cell_angle_beta 90.00
_cell_angle_gamma 90.00
loop_
_atom_site_label
_atom_site_type_symbol
_atom_site_fract_x
_atom_site_fract_y
_atom_site_fract_z
Tl1 Tl 0.000 0.000 0.000
Tc1 Tc 0.500 0.500 0.000
Bi1 Bi 0.000 0.500 0.500
Ir1 Ir 0.000 0.000 0.500
```

Output
energy relative to the elements	1279	meV per atom

***

Entry 3:
# Zr2CO

Crystalline Zr2CO at its relaxed geometry (GGA-PBEsol, the Alexandria database).

The structure in CIF format:
```
data_Zr2CO
_symmetry_space_group_name_H-M 'I -4 2 d'
_symmetry_Int_Tables_number 122
_symmetry_space_group_name_Hall 'I -4 2bw'
_cell_length_a 4.950
_cell_length_b 4.950
_cell_length_c 10.031
_cell_angle_alpha 90.00
_cell_angle_beta 90.00
_cell_angle_gamma 90.00
loop_
_atom_site_label
_atom_site_type_symbol
_atom_site_fract_x
_atom_site_fract_y
_atom_site_fract_z
Zr1 Zr 0.249 0.250 0.125
C1 C 0.000 0.000 0.500
O1 O 0.000 0.000 0.000
```

Output
E_form (uncorrected)	-32.81	kcal/mol of atoms

***

Entry 4:
# BaMg6Zn

Crystalline BaMg6Zn at its relaxed geometry (GGA-PBEsol, the Alexandria database).

The structure in CIF format:
```
data_BaMg6Zn
_symmetry_space_group_name_H-M 'A m m 2'
_symmetry_Int_Tables_number 38
_cell_length_a 4.925
_cell_length_b 6.089
_cell_length_c 14.103
_cell_angle_alpha 90.00
_cell_angle_beta 90.00
_cell_angle_gamma 90.00
loop_
_symmetry_equiv_pos_as_xyz
'x,y,z'
'-x,-y,z'
'-x,y,z'
'x,-y,z'
'x,y+1/2,z+1/2'
'-x,-y+1/2,z+1/2'
'-x,y+1/2,z+1/2'
'x,-y+1/2,z+1/2'
loop_
_atom_site_label
_atom_site_type_symbol
_atom_site_fract_x
_atom_site_fract_y
_atom_site_fract_z
Ba1 Ba 0.000 0.000 0.000
Mg1 Mg 0.000 0.240 0.731
Mg2 Mg 0.500 0.000 0.169
Mg3 Mg 0.500 0.000 0.583
Mg4 Mg 0.500 0.246 0.366
Zn1 Zn 0.000 0.000 0.397
```

Output
energy relative to the elements	42	meV per atom

***

Entry 5:
# Cd2TcAu

Crystalline Cd2TcAu at its relaxed geometry (GGA-PBEsol, the Alexandria database).

The structure in CIF format:
```
data_Cd2TcAu
_symmetry_space_group_name_H-M 'C 1 2/m 1'
_symmetry_Int_Tables_number 12
_cell_length_a 9.492
_cell_length_b 2.786
_cell_length_c 5.232
_cell_angle_alpha 90.00
_cell_angle_beta 98.65
_cell_angle_gamma 90.00
loop_
_symmetry_equiv_pos_as_xyz
'x,y,z'
'-x,-y,-z'
'-x,y,-z'
'x,-y,z'
'x+1/2,y+1/2,z'
'-x+1/2,-y+1/2,-z'
'-x+1/2,y+1/2,-z'
'x+1/2,-y+1/2,z'
loop_
_atom_site_label
_atom_site_type_symbol
_atom_site_fract_x
_atom_site_fract_y
_atom_site_fract_z
Cd1 Cd 0.249 0.000 0.243
Tc1 Tc 0.000 0.500 0.000
Au1 Au 0.000 0.000 0.500
```

Output
energy relative to the elements	293	meV per atom

***

Entry 6:
# La3OsO7

Crystalline La3OsO7 at its relaxed geometry (GGA-PBEsol, the Alexandria database).

The structure in CIF format:
```
data_La3OsO7
_symmetry_space_group_name_H-M 'C m c m'
_symmetry_Int_Tables_number 63
_symmetry_space_group_name_Hall '-C 2c 2'
_cell_length_a 11.116
_cell_length_b 7.434
_cell_length_c 7.586
_cell_angle_alpha 90.00
_cell_angle_beta 90.00
_cell_angle_gamma 90.00
loop_
_atom_site_label
_atom_site_type_symbol
_atom_site_fract_x
_atom_site_fract_y
_atom_site_fract_z
La1 La 0.000 0.000 0.000
La2 La 0.223 0.312 0.250
Os1 Os 0.000 0.500 0.000
O1 O 0.000 0.426 0.250
O2 O 0.125 0.315 0.540
O3 O 0.130 0.032 0.250
```

Output
E_form (uncorrected)	-63.06	kcal/mol of atoms

***

Entry 7:
# SrNi2Rh

Crystalline SrNi2Rh at its relaxed geometry (GGA-PBEsol, the Alexandria database).

The structure in CIF format:
```
data_SrNi2Rh
_symmetry_space_group_name_H-M 'F m -3 m'
_symmetry_Int_Tables_number 225
_symmetry_space_group_name_Hall '-F 4 2 3'
_cell_length_a 6.292
_cell_length_b 6.292
_cell_length_c 6.292
_cell_angle_alpha 90.00
_cell_angle_beta 90.00
_cell_angle_gamma 90.00
loop_
_atom_site_label
_atom_site_type_symbol
_atom_site_fract_x
_atom_site_fract_y
_atom_site_fract_z
Sr1 Sr 0.000 0.000 0.000
Ni1 Ni 0.250 0.250 0.250
Rh1 Rh 0.000 0.000 0.500
```

Output
energy relative to the elements	426	meV per atom
excess energy over the best structure of this formula in the dataset	1.919	eV per formula unit

***

Entry 8:
# BaPNCl2

Crystalline BaPNCl2 at its relaxed geometry (GGA-PBEsol, the Alexandria database).

The structure in CIF format:
```
data_BaPNCl2
_symmetry_space_group_name_H-M 'P 4/m m m'
_symmetry_Int_Tables_number 123
_symmetry_space_group_name_Hall '-P 4 2'
_cell_length_a 5.700
_cell_length_b 5.700
_cell_length_c 3.380
_cell_angle_alpha 90.00
_cell_angle_beta 90.00
_cell_angle_gamma 90.00
loop_
_atom_site_label
_atom_site_type_symbol
_atom_site_fract_x
_atom_site_fract_y
_atom_site_fract_z
Ba1 Ba 0.000 0.000 0.000
P1 P 0.500 0.500 0.000
N1 N 0.500 0.500 0.500
Cl1 Cl 0.000 0.500 0.500
```

Output
E_form (uncorrected)	-12.10	kcal/mol of atoms

***

Number 1: Fermi-level density of states 1.60 states/eV/cell, total magnetization 0.00 μB/cell. Number 2: Fermi-level density of states 4.49 states/eV/cell, total magnetization 3.36 μB/cell. Number 3: Fermi-level density of states 6.43 states/eV/cell, total magnetization 0.00 μB/cell. Number 4: Fermi-level density of states 9.54 states/eV/cell, total magnetization 0.00 μB/cell. Number 5: Fermi-level density of states 4.81 states/eV/cell, total magnetization 0.00 μB/cell. Number 6: Fermi-level density of states 9.19 states/eV/cell, total magnetization 10.30 μB/cell. Number 7: Fermi-level density of states 34.88 states/eV/cell, total magnetization 2.65 μB/cell. Number 8: Fermi-level density of states 2.27 states/eV/cell, total magnetization 0.00 μB/cell.